# 1
# AlCu2Rh (GGA-PBE, relaxed)
data_AlCu2Rh
_chemical_formula_sum 'Al1 Cu2 Rh1'
_space_group_name_H-M_alt 'P 1'
_space_group_IT_number 1
_cell_length_a 8.293
_cell_length_b 8.293
_cell_length_c 8.293
_cell_angle_alpha 19.20
_cell_angle_beta 19.20
_cell_angle_gamma 19.20
loop_
_space_group_symop_operation_xyz
'x,y,z'
loop_
_atom_site_label
_atom_site_fract_x
_atom_site_fract_y
_atom_site_fract_z
Rh1 0.497 0.497 0.497
Cu1 0.252 0.252 0.252
Cu2 0.000 0.000 0.000
Al1 0.751 0.751 0.751
# **Formation energy from the elements**: -0.177 eV per atom
# **D(E_F)**: 3.43 states/eV/f.u.

# 2
# AlCu2Rh (GGA-PBE, relaxed)
data_AlCu2Rh
_chemical_formula_sum 'Al1 Cu2 Rh1'
_space_group_name_H-M_alt 'P 1'
_space_group_IT_number 1
_cell_length_a 4.987
_cell_length_b 4.987
_cell_length_c 4.097
_cell_angle_alpha 66.32
_cell_angle_beta 66.32
_cell_angle_gamma 34.31
loop_
_space_group_symop_operation_xyz
'x,y,z'
loop_
_atom_site_label
_atom_site_fract_x
_atom_site_fract_y
_atom_site_fract_z
Rh1 0.750 0.750 0.750
Cu1 0.992 0.992 0.008
Al1 0.250 0.250 0.250
Cu2 0.508 0.508 0.492
# **Formation energy from the elements**: -0.377 eV per atom
# **D(E_F)**: 1.40 states/eV/f.u.

# 3
# AlCuRh2 (GGA-PBE, relaxed)
data_AlCuRh2
_chemical_formula_sum 'Al1 Cu1 Rh2'
_space_group_name_H-M_alt 'P 1'
_space_group_IT_number 1
_cell_length_a 4.945
_cell_length_b 4.945
_cell_length_c 4.431
_cell_angle_alpha 67.89
_cell_angle_beta 67.89
_cell_angle_gamma 33.09
loop_
_space_group_symop_operation_xyz
'x,y,z'
loop_
_atom_site_label
_atom_site_fract_x
_atom_site_fract_y
_atom_site_fract_z
Rh1 0.248 0.248 0.324
Al1 0.500 0.500 0.430
Cu1 0.751 0.751 0.819
Rh2 0.000 0.000 0.927
# **Formation energy from the elements**: -0.431 eV per atom
# **D(E_F)**: 2.68 states/eV/f.u.

# 4
# AlCuRhS2 (GGA-PBE, relaxed)
data_AlCuRhS2
_chemical_formula_sum 'Al1 Cu1 Rh1 S2'
_space_group_name_H-M_alt 'P 1'
_space_group_IT_number 1
_cell_length_a 4.707
_cell_length_b 4.593
_cell_length_c 4.707
_cell_angle_alpha 90.00
_cell_angle_beta 90.00
_cell_angle_gamma 90.00
loop_
_space_group_symop_operation_xyz
'x,y,z'
loop_
_atom_site_label
_atom_site_fract_x
_atom_site_fract_y
_atom_site_fract_z
Al1 0.000 0.500 0.000
Cu1 0.500 0.500 0.500
Rh1 0.000 0.000 0.000
S1 0.000 0.000 0.500
S2 0.500 0.000 0.000
# **Raw formation energy**: 520.0 meV per atom
# **D(E_F)**: 3.73 states/eV/f.u.

# 5
# Sc4AlCu2Rh (GGA-PBE, relaxed)
data_Sc4AlCu2Rh
_chemical_formula_sum 'Sc4 Al1 Cu2 Rh1'
_space_group_name_H-M_alt 'P 1'
_space_group_IT_number 1
_cell_length_a 4.651
_cell_length_b 4.651
_cell_length_c 8.076
_cell_angle_alpha 73.27
_cell_angle_beta 73.27
_cell_angle_gamma 60.00
loop_
_space_group_symop_operation_xyz
'x,y,z'
loop_
_atom_site_label
_atom_site_fract_x
_atom_site_fract_y
_atom_site_fract_z
Sc1 0.619 0.619 0.142
Rh1 0.500 0.500 0.500
Al1 0.000 0.000 0.000
Sc2 0.871 0.871 0.387
Sc3 0.381 0.381 0.858
Cu1 0.258 0.258 0.225
Sc4 0.129 0.129 0.613
Cu2 0.742 0.742 0.775
# **Formation energy from the elements**: -0.519 eV per atom
# **D(E_F)**: 4.19 states/eV/f.u.

# 6
# SmAl3CuRh (GGA-PBE, relaxed)
data_SmAl3CuRh
_chemical_formula_sum 'Sm2 Al6 Cu2 Rh2'
_space_group_name_H-M_alt 'P 1'
_space_group_IT_number 1
_cell_length_a 5.628
_cell_length_b 6.370
_cell_length_c 6.966
_cell_angle_alpha 117.21
_cell_angle_beta 90.00
_cell_angle_gamma 90.00
loop_
_space_group_symop_operation_xyz
'x,y,z'
loop_
_atom_site_label
_atom_site_fract_x
_atom_site_fract_y
_atom_site_fract_z
Sm1 0.250 0.723 0.446
Rh1 0.750 0.061 0.123
Rh2 0.250 0.939 0.877
Al1 0.750 0.858 0.715
Al2 0.500 0.700 0.000
Al3 0.250 0.142 0.285
Al4 0.000 0.300 0.000
Cu1 0.250 0.353 0.706
Al5 0.000 0.700 0.000
Cu2 0.750 0.647 0.294
Sm2 0.750 0.277 0.554
Al6 0.500 0.300 0.000
# **Formation energy from the elements**: -0.440 eV per atom
# **D(E_F)**: 2.07 states/eV/f.u.

# 7
# Sm2Al5Cu2Rh (GGA-PBE, relaxed)
data_Sm2Al5Cu2Rh
_chemical_formula_sum 'Sm4 Al10 Cu4 Rh2'
_space_group_name_H-M_alt 'P 1'
_space_group_IT_number 1
_cell_length_a 3.824
_cell_length_b 9.674
_cell_length_c 9.674
_cell_angle_alpha 90.00
_cell_angle_beta 90.00
_cell_angle_gamma 90.00
loop_
_space_group_symop_operation_xyz
'x,y,z'
loop_
_atom_site_label
_atom_site_fract_x
_atom_site_fract_y
_atom_site_fract_z
Al1 0.500 0.305 0.550
Sm1 0.000 0.184 0.316
Al2 0.500 0.550 0.695
Al3 0.500 0.695 0.450
Cu1 0.000 0.113 0.613
Sm2 0.000 0.684 0.184
Rh1 0.000 0.500 0.500
Al4 0.500 0.950 0.195
Cu2 0.000 0.613 0.887
Al5 0.500 0.805 0.950
Al6 0.500 0.450 0.305
Sm3 0.000 0.816 0.684
Cu3 0.000 0.387 0.113
Al7 0.500 0.050 0.805
Sm4 0.000 0.316 0.816
Rh2 0.000 0.000 0.000
Cu4 0.000 0.887 0.387
Al8 0.500 0.000 0.500
Al9 0.500 0.500 0.000
Al10 0.500 0.195 0.050
# **Formation energy from the elements**: -0.470 eV per atom
# **D(E_F)**: 5.07 states/eV/f.u.

# 8
# SmAlCuRh (GGA-PBE, relaxed)
data_SmAlCuRh
_chemical_formula_sum 'Sm1 Al1 Cu1 Rh1'
_space_group_name_H-M_alt 'P 1'
_space_group_IT_number 1
_cell_length_a 4.656
_cell_length_b 4.656
_cell_length_c 4.656
_cell_angle_alpha 60.00
_cell_angle_beta 60.00
_cell_angle_gamma 60.00
loop_
_space_group_symop_operation_xyz
'x,y,z'
loop_
_atom_site_label
_atom_site_fract_x
_atom_site_fract_y
_atom_site_fract_z
Sm1 0.500 0.500 0.500
Cu1 0.250 0.250 0.250
Al1 0.000 0.000 0.000
Rh1 0.750 0.750 0.750
# **Formation energy from the elements**: -0.451 eV per atom
# **D(E_F)**: 2.40 states/eV/f.u.

# 9
# AlCuSn2Rh (GGA-PBE, relaxed)
data_AlCuSn2Rh
_chemical_formula_sum 'Al1 Cu1 Sn2 Rh1'
_space_group_name_H-M_alt 'P 1'
_space_group_IT_number 1
_cell_length_a 5.178
_cell_length_b 4.509
_cell_length_c 5.178
_cell_angle_alpha 90.00
_cell_angle_beta 90.00
_cell_angle_gamma 90.00
loop_
_space_group_symop_operation_xyz
'x,y,z'
loop_
_atom_site_label
_atom_site_fract_x
_atom_site_fract_y
_atom_site_fract_z
Cu1 0.500 0.500 0.500
Rh1 0.000 0.500 0.000
Sn1 0.500 0.000 0.000
Al1 0.000 0.000 0.000
Sn2 0.000 0.000 0.500
# **Formation energy from the elements**: 0.705 eV per atom
# **D(E_F)**: 2.59 states/eV/f.u.

# 10
# TaAlCuRh (GGA-PBE, relaxed)
data_TaAlCuRh
_chemical_formula_sum 'Ta1 Al1 Cu1 Rh1'
_space_group_name_H-M_alt 'P 1'
_space_group_IT_number 1
_cell_length_a 4.371
_cell_length_b 4.371
_cell_length_c 4.371
_cell_angle_alpha 60.00
_cell_angle_beta 60.00
_cell_angle_gamma 60.00
loop_
_space_group_symop_operation_xyz
'x,y,z'
loop_
_atom_site_label
_atom_site_fract_x
_atom_site_fract_y
_atom_site_fract_z
Al1 0.500 0.500 0.500
Rh1 0.750 0.750 0.750
Cu1 0.250 0.250 0.250
Ta1 0.000 0.000 0.000
# **Formation energy from the elements**: -0.439 eV per atom
# **D(E_F)**: 1.69 states/eV/f.u.

# 11
# TbAl4Cu2Rh (GGA-PBE, relaxed)
data_TbAl4Cu2Rh
_chemical_formula_sum 'Tb1 Al4 Cu2 Rh1'
_space_group_name_H-M_alt 'P 1'
_space_group_IT_number 1
_cell_length_a 4.178
_cell_length_b 4.178
_cell_length_c 9.178
_cell_angle_alpha 76.84
_cell_angle_beta 76.84
_cell_angle_gamma 60.00
loop_
_space_group_symop_operation_xyz
'x,y,z'
loop_
_atom_site_label
_atom_site_fract_x
_atom_site_fract_y
_atom_site_fract_z
Tb1 0.000 0.000 0.000
Rh1 0.500 0.500 0.500
Cu1 0.237 0.237 0.288
Al1 0.595 0.595 0.214
Al2 0.869 0.869 0.394
Cu2 0.763 0.763 0.712
Al3 0.131 0.131 0.606
Al4 0.405 0.405 0.786
# **Formation energy from the elements**: -0.479 eV per atom
# **D(E_F)**: 2.26 states/eV/f.u.

# 12
# TbAlCuRh (GGA-PBE, relaxed)
data_TbAlCuRh
_chemical_formula_sum 'Tb1 Al1 Cu1 Rh1'
_space_group_name_H-M_alt 'P 1'
_space_group_IT_number 1
_cell_length_a 4.603
_cell_length_b 4.603
_cell_length_c 4.603
_cell_angle_alpha 60.00
_cell_angle_beta 60.00
_cell_angle_gamma 60.00
loop_
_space_group_symop_operation_xyz
'x,y,z'
loop_
_atom_site_label
_atom_site_fract_x
_atom_site_fract_y
_atom_site_fract_z
Tb1 0.000 0.000 0.000
Rh1 0.750 0.750 0.750
Al1 0.500 0.500 0.500
Cu1 0.250 0.250 0.250
# **Formation energy from the elements**: -0.528 eV per atom
# **D(E_F)**: 2.66 states/eV/f.u.

# 13
# Tb2Al5Cu2Rh (GGA-PBE, relaxed)
data_Tb2Al5Cu2Rh
_chemical_formula_sum 'Tb4 Al10 Cu4 Rh2'
_space_group_name_H-M_alt 'P 1'
_space_group_IT_number 1
_cell_length_a 3.805
_cell_length_b 9.577
_cell_length_c 9.577
_cell_angle_alpha 90.00
_cell_angle_beta 90.00
_cell_angle_gamma 90.00
loop_
_space_group_symop_operation_xyz
'x,y,z'
loop_
_atom_site_label
_atom_site_fract_x
_atom_site_fract_y
_atom_site_fract_z
Tb1 0.000 0.317 0.817
Tb2 0.000 0.183 0.317
Cu1 0.000 0.615 0.885
Al1 0.500 0.052 0.804
Al2 0.500 0.448 0.304
Al3 0.500 0.196 0.052
Al4 0.500 0.304 0.552
Rh1 0.000 0.500 0.500
Al5 0.500 0.552 0.696
Cu2 0.000 0.385 0.115
Cu3 0.000 0.115 0.615
Al6 0.500 0.500 0.000
Al7 0.500 0.000 0.500
Tb3 0.000 0.683 0.183
Al8 0.500 0.948 0.196
Cu4 0.000 0.885 0.385
Tb4 0.000 0.817 0.683
Al9 0.500 0.696 0.448
Rh2 0.000 0.000 0.000
Al10 0.500 0.804 0.948
# **Formation energy from the elements**: -0.493 eV per atom
# **D(E_F)**: 4.79 states/eV/f.u.

# 14
# Al2CuTcRh (GGA-PBE, relaxed)
data_Al2CuTcRh
_chemical_formula_sum 'Al2 Cu1 Tc1 Rh1'
_space_group_name_H-M_alt 'P 1'
_space_group_IT_number 1
_cell_length_a 4.571
_cell_length_b 4.773
_cell_length_c 4.571
_cell_angle_alpha 90.00
_cell_angle_beta 90.00
_cell_angle_gamma 90.00
loop_
_space_group_symop_operation_xyz
'x,y,z'
loop_
_atom_site_label
_atom_site_fract_x
_atom_site_fract_y
_atom_site_fract_z
Tc1 0.000 0.500 0.000
Al1 0.500 0.000 0.000
Cu1 0.500 0.500 0.500
Al2 0.000 0.000 0.500
Rh1 0.000 0.000 0.000
# **Formation energy from the elements**: 0.764 eV per atom
# **D(E_F)**: 4.83 states/eV/f.u.

# 15
# AlCu2TeRh (GGA-PBE, relaxed)
data_AlCu2TeRh
_chemical_formula_sum 'Al1 Cu2 Te1 Rh1'
_space_group_name_H-M_alt 'P 1'
_space_group_IT_number 1
_cell_length_a 4.846
_cell_length_b 4.839
_cell_length_c 4.846
_cell_angle_alpha 90.00
_cell_angle_beta 90.00
_cell_angle_gamma 90.00
loop_
_space_group_symop_operation_xyz
'x,y,z'
loop_
_atom_site_label
_atom_site_fract_x
_atom_site_fract_y
_atom_site_fract_z
Cu1 0.500 0.000 0.000
Rh1 0.000 0.000 0.000
Cu2 0.000 0.000 0.500
Te1 0.000 0.500 0.000
Al1 0.500 0.500 0.500
# **Raw formation energy**: 606.7 meV per atom
# **D(E_F)**: 1.58 states/eV/f.u.

# 16
# TiAl4CuRh2 (GGA-PBE, relaxed)
data_TiAl4CuRh2
_chemical_formula_sum 'Ti1 Al4 Cu1 Rh2'
_space_group_name_H-M_alt 'P 1'
_space_group_IT_number 1
_cell_length_a 4.309
_cell_length_b 4.309
_cell_length_c 7.500
_cell_angle_alpha 73.31
_cell_angle_beta 73.31
_cell_angle_gamma 60.00
loop_
_space_group_symop_operation_xyz
'x,y,z'
loop_
_atom_site_label
_atom_site_fract_x
_atom_site_fract_y
_atom_site_fract_z
Al1 0.129 0.129 0.613
Cu1 0.500 0.500 0.500
Rh1 0.745 0.745 0.764
Al2 0.381 0.381 0.856
Al3 0.619 0.619 0.144
Al4 0.871 0.871 0.387
Rh2 0.255 0.255 0.236
Ti1 0.000 0.000 0.000
# **Formation energy from the elements**: -0.625 eV per atom
# **D(E_F)**: 5.26 states/eV/f.u.

# 17
# Ti2Al5Cu2Rh (GGA-PBE, relaxed)
data_Ti2Al5Cu2Rh
_chemical_formula_sum 'Ti4 Al10 Cu4 Rh2'
_space_group_name_H-M_alt 'P 1'
_space_group_IT_number 1
_cell_length_a 3.218
_cell_length_b 9.654
_cell_length_c 9.654
_cell_angle_alpha 90.00
_cell_angle_beta 90.00
_cell_angle_gamma 90.00
loop_
_space_group_symop_operation_xyz
'x,y,z'
loop_
_atom_site_label
_atom_site_fract_x
_atom_site_fract_y
_atom_site_fract_z
Cu1 0.000 0.370 0.130
Ti1 0.000 0.324 0.824
Al1 0.500 0.199 0.053
Ti2 0.000 0.176 0.324
Al2 0.500 0.553 0.699
Al3 0.500 0.500 0.000
Al4 0.500 0.301 0.553
Rh1 0.000 0.500 0.500
Al5 0.500 0.000 0.500
Al6 0.500 0.801 0.947
Ti3 0.000 0.824 0.676
Al7 0.500 0.053 0.801
Al8 0.500 0.699 0.447
Al9 0.500 0.447 0.301
Cu2 0.000 0.630 0.870
Cu3 0.000 0.870 0.370
Cu4 0.000 0.130 0.630
Rh2 0.000 0.000 0.000
Ti4 0.000 0.676 0.176
Al10 0.500 0.947 0.199
# **Formation energy from the elements**: -0.395 eV per atom
# **D(E_F)**: 3.75 states/eV/f.u.

# 18
# Al2TlCuRh (GGA-PBE, relaxed)
data_Al2TlCuRh
_chemical_formula_sum 'Al2 Tl1 Cu1 Rh1'
_space_group_name_H-M_alt 'P 1'
_space_group_IT_number 1
_cell_length_a 4.691
_cell_length_b 5.230
_cell_length_c 4.691
_cell_angle_alpha 90.00
_cell_angle_beta 90.00
_cell_angle_gamma 90.00
loop_
_space_group_symop_operation_xyz
'x,y,z'
loop_
_atom_site_label
_atom_site_fract_x
_atom_site_fract_y
_atom_site_fract_z
Al1 0.500 0.000 0.000
Tl1 0.000 0.500 0.000
Cu1 0.500 0.500 0.500
Al2 0.000 0.000 0.500
Rh1 0.000 0.000 0.000
# **Formation energy from the elements**: 0.209 eV per atom
# **D(E_F)**: 1.60 states/eV/f.u.

# 19
# AlVCuRh (GGA-PBE, relaxed)
data_AlVCuRh
_chemical_formula_sum 'Al1 V1 Cu1 Rh1'
_space_group_name_H-M_alt 'P 1'
_space_group_IT_number 1
_cell_length_a 4.243
_cell_length_b 4.243
_cell_length_c 4.243
_cell_angle_alpha 60.00
_cell_angle_beta 60.00
_cell_angle_gamma 60.00
loop_
_space_group_symop_operation_xyz
'x,y,z'
loop_
_atom_site_label
_atom_site_fract_x
_atom_site_fract_y
_atom_site_fract_z
Cu1 0.250 0.250 0.250
V1 0.500 0.500 0.500
Al1 0.000 0.000 0.000
Rh1 0.750 0.750 0.750
# **Formation energy from the elements**: -0.402 eV per atom
# **D(E_F)**: 2.28 states/eV/f.u.

# 20
# YAl4Cu2Rh (GGA-PBE, relaxed)
data_YAl4Cu2Rh
_chemical_formula_sum 'Y1 Al4 Cu2 Rh1'
_space_group_name_H-M_alt 'P 1'
_space_group_IT_number 1
_cell_length_a 4.175
_cell_length_b 4.175
_cell_length_c 9.179
_cell_angle_alpha 76.86
_cell_angle_beta 76.86
_cell_angle_gamma 60.00
loop_
_space_group_symop_operation_xyz
'x,y,z'
loop_
_atom_site_label
_atom_site_fract_x
_atom_site_fract_y
_atom_site_fract_z
Al1 0.869 0.869 0.394
Y1 0.000 0.000 0.000
Al2 0.596 0.596 0.213
Al3 0.131 0.131 0.606
Cu1 0.237 0.237 0.289
Cu2 0.763 0.763 0.711
Al4 0.404 0.404 0.787
Rh1 0.500 0.500 0.500
# **Formation energy from the elements**: -0.483 eV per atom
# **D(E_F)**: 2.39 states/eV/f.u.

Values for size of the total moment, μB/atom, ordered as above
0.038, 0.000, 0.000, 0.000, 0.000, 0.000, 0.000, 0.000, 0.000, 0.000, 0.000, 0.000, 0.000, 0.212, 0.000, 0.000, 0.000, 0.000, 0.000, 0.000